Entry 1:
Here is a relaxed structure of TbEuTe2 from Alexandria via LeMat-Bulk. Energies are from PBE.

## Properties
The formation energy from raw total energies comes out at -1506 meV per atom. Its offset from the most stable computed form is 0.00 eV/f.u. The total moment comes out at 7.00 μB/f.u. The volume is 382 Å³ per cell.

Lattice parameters (Å, degrees): 4.4547 4.4547 22.2333 90.00 90.00 120.00
Closest atoms and distances in Å follow each position.
Space group R-3m (No. 166, hexagonal axes)
One atom of each set of equivalent atoms:
Tb 0.0000 0.0000 0.0000  6 Te 3.12
Eu 0.0000 0.0000 0.5000  6 Te 3.22
Te 0.0000 0.0000 0.2540  3 Tb 3.12, 3 Eu 3.22


Entry 2:
Here is a relaxed structure of Tb5SmHo6 from Alexandria via LeMat-Bulk. Energies are from PBE.

## Properties
Its offset from the most stable computed form is 0.00 eV/f.u. The total moment comes out at 0.00 μB/f.u. The value obtained for the formation energy is 16 meV per atom. The volume is 756 Å³ per cell.

Lattice parameters (Å, degrees): 6.1458 10.6347 11.7416 90.00 99.99 90.00
Closest atoms and distances in Å follow each position.
Space group C2/m (No. 12)
One atom of each set of equivalent atoms:
Tb 0.0000 0.0000 0.0000  6 Ho 3.53-3.54, 6 Tb 3.54-3.55
Tb 0.0000 0.1667 0.5000  3 Sm 3.54-3.55, 3 Tb 3.55, 6 Ho 3.55
Tb 0.0000 0.3333 0.0000  6 Ho 3.53-3.54, 6 Tb 3.54-3.55
Sm 0.0000 0.5000 0.5000  6 Tb 3.54-3.55, 6 Ho 3.55
Ho 0.2495 0.0000 0.7505  5 Tb 3.53-3.55, 6 Ho 3.54-3.55, 1 Sm 3.55
Ho 0.2499 0.1668 0.2493  5 Tb 3.53-3.55, 6 Ho 3.54-3.55, 1 Sm 3.55


- Look up the offset from the most stable computed form of the second one.
  0.00 eV/f.u.


- Look up the offset from the most stable computed form of the first one.
  0.00 eV/f.u.